1.
PbSeCl2: optimized geometry, GGA-PBEsol.

## Properties
relative energy among the computed polymorphs = 1.78 kcal/mol of atoms
space-group type = P4/mmm, No. 123
raw formation energy = -248.4 meV/atom

Unit cell a=3.3620 b=3.3620 c=9.8576 alpha=90.00 beta=90.00 gamma=90.00
Closest atoms and distances in Å follow each position.
Fractional coordinates of all 4 atoms:
Pb 0.5000 0.5000 0.0000  8 Cl 2.94
Se 0.5000 0.5000 0.5000  4 Se 3.36
Cl 0.0000 0.0000 0.8250  4 Pb 2.94
Cl 0.0000 0.0000 0.1750  4 Pb 2.94

=====

2.
PbSeCl2: optimized geometry, GGA-PBEsol.

## Properties
relative energy among the computed polymorphs = 0.00 kcal/mol of atoms
space-group type = I-4m2, No. 119
raw formation energy = -325.7 meV/atom

Unit cell a=4.0881 b=4.0881 c=6.1842 alpha=109.30 beta=109.30 gamma=90.00
Closest atoms and distances in Å follow each position.
Fractional coordinates of all 4 atoms:
Pb 0.5000 0.5000 0.0000  4 Cl 2.89
Se 0.2500 0.7500 0.5000  4 Cl 2.89
Cl 0.0000 0.0000 0.0000  4 Pb 2.89
Cl 0.7500 0.2500 0.5000  4 Se 2.89

=====

3.
SrPbSeCl2: optimized geometry, GGA-PBEsol.

## Properties
space-group type = P4/mmm, No. 123
raw formation energy = -742.6 meV/atom

Unit cell a=5.1508 b=5.1508 c=12.8915 alpha=90.00 beta=90.00 gamma=90.00
Closest atoms and distances in Å follow each position.
Fractional coordinates of all 5 atoms:
Pb 0.0000 0.0000 0.5000  4 Se 3.64
Sr 0.0000 0.0000 0.0000  4 Cl 2.58
Se 0.5000 0.5000 0.5000  4 Pb 3.64
Cl 0.0000 0.5000 0.0000  2 Sr 2.58
Cl 0.5000 0.0000 0.0000  2 Sr 2.58

=====

4.
SiPbCl: optimized geometry, GGA-PBEsol.

## Properties
relative energy among the computed polymorphs = 0.00 kcal/mol of atoms
space-group type = P-6m2, No. 187
raw formation energy = 134.0 meV/atom

Unit cell a=3.1669 b=4.9046 c=4.9046 alpha=120.00 beta=90.00 gamma=90.00
Closest atoms and distances in Å follow each position.
Fractional coordinates of all 3 atoms:
Cl 0.1672 0.0000 0.0000  3 Si 2.83, 2 Cl 3.17
Pb 0.6660 0.3333 0.6667  2 Pb 3.17, 6 Cl 3.24-3.25, 6 Si 3.24-3.25
Si 0.1668 0.6667 0.3333  3 Cl 2.83, 2 Si 3.17

=====

5.
SiPbCl: optimized geometry, GGA-PBEsol.

## Properties
relative energy among the computed polymorphs = 0.79 kcal/mol of atoms
space-group type = I4mm, No. 107
raw formation energy = 168.3 meV/atom

Unit cell a=3.2358 b=3.2358 c=6.8616 alpha=103.64 beta=103.64 gamma=90.00
Closest atoms and distances in Å follow each position.
Fractional coordinates of all 3 atoms:
Cl 0.9774 0.9774 0.9547  4 Si 2.87
Pb 0.6790 0.6790 0.3581  4 Si 3.13, 4 Pb 3.24, 4 Cl 3.47
Si 0.3436 0.3436 0.6872  4 Cl 2.87, 4 Pb 3.13

=====

6.
Si2PbCl: optimized geometry, GGA-PBEsol.

## Properties
relative energy among the computed polymorphs = 7.30 kcal/mol of atoms
space-group type = I4/mmm, No. 139
raw formation energy = 311.9 meV/atom

Unit cell a=3.8695 b=3.8695 c=6.5590 alpha=107.16 beta=107.16 gamma=90.00
Closest atoms and distances in Å follow each position.
Fractional coordinates of all 4 atoms:
Cl 0.5000 0.5000 0.0000  4 Pb 2.74
Pb 0.0000 0.0000 0.0000  4 Cl 2.74
Si 0.7500 0.2500 0.5000  4 Si 2.74
Si 0.2500 0.7500 0.5000  4 Si 2.74

=====

7.
SiPb2Cl: optimized geometry, GGA-PBEsol.

## Properties
relative energy among the computed polymorphs = 0.00 kcal/mol of atoms
space-group type = R-3m, No. 166
raw formation energy = 0.2 meV/atom

Unit cell a=3.4326 b=3.4326 c=9.7674 alpha=79.88 beta=79.88 gamma=60.00
Closest atoms and distances in Å follow each position.
Fractional coordinates of all 4 atoms:
Cl 0.0000 0.0000 0.0000  6 Pb 3.09, 6 Cl 3.43
Pb 0.2506 0.2506 0.2481  3 Cl 3.09, 3 Si 3.12, 6 Pb 3.43
Pb 0.7494 0.7494 0.7519  3 Cl 3.09, 3 Si 3.12, 6 Pb 3.43
Si 0.5000 0.5000 0.5000  6 Pb 3.12, 6 Si 3.43

=====

8.
Si2PbCl: optimized geometry, GGA-PBEsol.

## Properties
relative energy among the computed polymorphs = 9.84 kcal/mol of atoms
space-group type = Cmmm, No. 65
raw formation energy = 422.2 meV/atom

Unit cell a=3.0324 b=5.3041 c=6.0683 alpha=115.91 beta=90.00 gamma=90.00
Closest atoms and distances in Å follow each position.
Fractional coordinates of all 4 atoms:
Cl 0.5000 0.0000 0.0000  2 Pb 2.65
Pb 0.5000 0.5000 0.0000  2 Cl 2.65
Si 0.0000 0.0000 0.5000  2 Si 2.65
Si 0.0000 0.5000 0.5000  2 Si 2.65

=====

no.,density (g/cm³),V (Å³/f.u.)
1,5.3,111.4
2,6.5,91.4
3,2.2,342.0
4,6.8,66.0
5,6.6,67.7
6,5.6,89.3
7,8.1,97.6
8,5.7,87.8